# 1
Density functional theory data (GGA-PBEsol) for a geometry-optimized BaEu3 structure.

a b c (Å): 5.545 5.545 5.545
angles (deg): 90.00 90.00 90.00
Positions (direct):
1 Ba 0.000 0.000 0.000
2 Eu 0.000 0.500 0.500
3 Eu 0.500 0.000 0.500
4 Eu 0.500 0.500 0.000

VASP energy	-33.6	eV for the cell shown
ΔE_f	0.24	eV per formula unit

# 2
Density functional theory data (GGA-PBEsol) for a geometry-optimized Ba3Eu structure.

a b c (Å): 9.491 9.491 9.491
angles (deg): 90.00 90.00 90.00
Positions (direct):
1 Ba 0.000 0.000 0.000
2 Ba 0.000 0.500 0.500
3 Ba 0.250 0.250 0.250
4 Ba 0.250 0.250 0.750
5 Ba 0.250 0.750 0.250
6 Ba 0.250 0.750 0.750
7 Ba 0.500 0.000 0.500
8 Ba 0.500 0.500 0.000
9 Ba 0.750 0.250 0.250
10 Ba 0.750 0.250 0.750
11 Ba 0.750 0.750 0.250
12 Ba 0.750 0.750 0.750
13 Eu 0.000 0.000 0.500
14 Eu 0.000 0.500 0.000
15 Eu 0.500 0.000 0.000
16 Eu 0.500 0.500 0.500

VASP energy	-67.2	eV for the cell shown
ΔE_f	0.22	eV per formula unit

# 3
Density functional theory data (GGA-PBEsol) for a geometry-optimized Ba2EuMoO6 structure.

a b c (Å): 5.990 5.990 5.990
angles (deg): 60.00 60.00 60.00
Positions (direct):
1 Ba 0.250 0.250 0.250
2 Ba 0.750 0.750 0.750
3 Eu 0.000 0.000 0.000
4 Mo 0.500 0.500 0.500
5 O 0.271 0.271 0.729
6 O 0.271 0.729 0.271
7 O 0.271 0.729 0.729
8 O 0.729 0.271 0.271
9 O 0.729 0.271 0.729
10 O 0.729 0.729 0.271

VASP energy	-85.2	eV for the cell shown
E_form (uncorrected)	-2.711	eV per atom